1.
ZrSi2Pb | GGA-PBE | optimized geometry

Geometry as POSCAR:
```
ZrSi2Pb
1.0
3.279 0.000 0.000
-1.639 2.839 0.000
0.000 0.000 27.580
Zr Si Pb
3 6 3
direct
0.000 0.000 0.000
0.333 0.667 0.667
0.667 0.333 0.333
0.000 0.000 0.259
0.000 0.000 0.741
0.333 0.667 0.408
0.333 0.667 0.925
0.667 0.333 0.075
0.667 0.333 0.592
0.000 0.000 0.500
0.333 0.667 0.167
0.667 0.333 0.833
```

Computed properties:
- Formation energy without anion corrections: 236 meV/atom



2.
Zr5Si2Pb | GGA-PBE | optimized geometry

Geometry as POSCAR:
```
Zr5Si2Pb
1.0
-3.578 3.578 6.470
3.578 -3.578 6.470
3.578 3.578 -6.470
Zr Si Pb
10 4 2
direct
0.000 0.000 0.000
0.025 0.525 0.829
0.196 0.025 0.500
0.304 0.804 0.829
0.475 0.304 0.500
0.500 0.500 0.000
0.525 0.696 0.500
0.696 0.196 0.171
0.804 0.975 0.500
0.975 0.475 0.171
0.130 0.370 0.500
0.370 0.870 0.241
0.630 0.130 0.759
0.870 0.630 0.500
0.250 0.250 0.000
0.750 0.750 0.000
```

Computed properties:
- Formation energy without anion corrections: -645 meV/atom



3.
Sm3Pb2 | GGA-PBE | optimized geometry

Geometry as POSCAR:
```
Sm3Pb2
1.0
-3.159 3.159 7.949
3.159 -3.159 7.949
3.159 3.159 -7.949
Sm Pb
6 4
direct
0.000 0.000 0.000
0.000 0.000 0.500
0.000 0.500 0.000
0.375 0.625 0.750
0.500 0.000 0.500
0.625 0.375 0.250
0.176 0.426 0.750
0.426 0.176 0.250
0.574 0.824 0.750
0.824 0.574 0.250
```

Computed properties:
- Formation energy: -0.424 eV/atom



no.,calculated volume (Å³/atom)
1,21.39
2,20.71
3,31.73